! CsBiMo2O8 PBE+U optimized geometry; values from VASP
&SYSTEM
  ibrav = 0, nat = 24, ntyp = 4
/
ATOMIC_SPECIES
Cs 132.91 Cs.upf
Bi 208.98 Bi.upf
Mo 95.94 Mo.upf
O 16.00 O.upf
CELL_PARAMETERS angstrom
5.184 0.000 0.000
0.000 8.412 0.000
0.000 0.000 9.728
ATOMIC_POSITIONS angstrom
Cs 0.000 2.103 4.864
Cs 0.000 6.309 4.864
Bi 0.000 2.103 0.000
Bi 0.000 6.309 0.000
Mo 2.719 0.000 1.903
Mo 2.465 0.000 7.825
Mo 2.465 4.206 1.903
Mo 2.719 4.206 7.825
O 1.332 0.000 0.651
O 3.852 0.000 9.076
O 3.852 4.206 0.651
O 1.332 4.206 9.076
O 1.368 2.763 1.842
O 3.816 5.649 7.886
O 3.816 2.763 7.886
O 3.816 1.443 1.842
O 1.368 5.649 1.842
O 1.368 6.969 7.886
O 1.368 1.443 7.886
O 3.816 6.969 1.842
O 1.991 0.000 3.494
O 3.194 0.000 6.234
O 3.194 4.206 3.494
O 1.991 4.206 6.234
! final energy	-0.24027	Ha/atom
! theoretical density	5.181	g cm⁻³
! space-group type	Pccm (49)